{
  "formula": "Tb8Ho2Mg",
  "functional": "PBE-GGA",
  "state": "relaxed",
  "dos_ef_per_ev_atom": 1.368,
  "e_form_mev_per_atom": 16,
  "energy_ev_per_cell": -47.61,
  "relative_energy_mev_per_atom": 0,
  "lattice_angstrom": [[8.981, -2.500, 0.000], [8.981, 2.500, 0.000], [-2.100, 0.000, 7.602]],
  "species": ["Tb", "Tb", "Tb", "Tb", "Tb", "Tb", "Tb", "Tb", "Ho", "Ho", "Mg"],
  "frac_coords": [[0.046, 0.046, 0.222], [0.136, 0.136, 0.681], [0.318, 0.318, 0.589], [0.409, 0.409, 0.050], [0.591, 0.591, 0.950], [0.682, 0.682, 0.411], [0.864, 0.864, 0.319], [0.954, 0.954, 0.778], [0.225, 0.225, 0.136], [0.775, 0.775, 0.864], [0.500, 0.500, 0.500]]
}